RbBeAsO4: optimized geometry, PBE-GGA.

```
data_RbBeAsO4
_chemical_formula_sum 'Rb2 Be2 As2 O8'
_space_group_name_H-M_alt 'I -4'
_space_group_IT_number 82
_space_group_name_Hall 'I -4'
_cell_length_a 5.3963
_cell_length_b 5.3963
_cell_length_c 7.5496
_cell_angle_alpha 90.00
_cell_angle_beta 90.00
_cell_angle_gamma 90.00
loop_
_atom_site_label
_atom_site_type_symbol
_atom_site_fract_x
_atom_site_fract_y
_atom_site_fract_z
Rb1 Rb 0.0000 0.0000 0.0000
Be1 Be 0.0000 0.0000 0.5000
As1 As 0.0000 0.5000 0.7500
O1 O 0.0695 0.2451 0.6241
```

Summary:
Calculated total energy, eV/cell: -83.7
Fermi-level density of states, states/eV/atom: 0.000
Calculated density, g/cm³: 3.53